# 1
{"formula": "Y2Tc2As", "functional": "PBE", "state": "relaxed", "rho_g_cm3": 6.5, "formation_enthalpy_0k_ev_per_atom": 0.25, "vol_a3_per_cell": 228.0, "total_energy_ev_per_cell": -74.126, "e_above_lowest_polymorph_mev_per_atom": 580, "cell": [[8.250, 0.000, 0.000], [0.000, 8.250, 0.000], [0.000, 0.000, 3.351]], "species": ["As", "Tc", "Tc", "Y", "Y", "Tc", "As", "Tc", "Y", "Y"], "frac_coords": [[0.000, 0.000, 0.000], [0.905, 0.405, 0.500], [0.095, 0.595, 0.500], [0.809, 0.691, 0.000], [0.309, 0.809, 0.000], [0.595, 0.905, 0.500], [0.500, 0.500, 0.000], [0.405, 0.095, 0.500], [0.691, 0.191, 0.000], [0.191, 0.309, 0.000]]}

---

# 2
{"formula": "TlTcAs2", "functional": "PBE", "state": "relaxed", "rho_g_cm3": 9.9, "formation_enthalpy_0k_ev_per_atom": 0.67, "vol_a3_per_cell": 76.0, "total_energy_ev_per_cell": -19.369, "e_above_lowest_polymorph_mev_per_atom": 788, "cell": [[3.450, 0.000, 0.000], [0.000, 4.530, 0.000], [0.000, 0.000, 4.861]], "species": ["As", "As", "Tl", "Tc"], "frac_coords": [[0.000, 0.000, 0.000], [0.500, 0.500, 0.000], [0.000, 0.500, 0.500], [0.500, 0.000, 0.500]]}

---

# 3
{"formula": "MgScIN2", "functional": "PBE", "state": "relaxed", "rho_g_cm3": 4.1, "vol_a3_per_cell": 90.4, "total_energy_ev_per_cell": -22.149, "formation_energy_uncorrected_ev_per_atom": 0.7956, "e_above_lowest_polymorph_mev_per_atom": 448, "cell": [[-3.822, 0.476, -1.395], [0.205, -3.667, -1.814], [-1.919, -2.317, 4.468]], "species": ["N", "Mg", "I", "N", "Sc"], "frac_coords": [[0.500, 0.000, 0.000], [0.000, 0.000, 0.000], [0.000, 0.000, 0.500], [0.000, 0.500, 0.000], [0.500, 0.500, 0.500]]}

---

# 4
{"formula": "Ca2GaOs", "functional": "PBE", "state": "relaxed", "rho_g_cm3": 6.2, "formation_enthalpy_0k_ev_per_atom": 0.76, "vol_a3_per_cell": 182.9, "total_energy_ev_per_cell": -30.425, "cell": [[-2.800, 2.241, -2.309], [-1.386, -3.602, -1.816], [-8.937, -1.722, 5.223]], "species": ["Ca", "Ca", "Ga", "Ca", "Os", "Ga", "Os", "Ca"], "frac_coords": [[0.114, 0.625, 0.250], [0.636, 0.125, 0.250], [0.250, 0.750, 0.500], [0.375, 0.364, 0.750], [0.000, 0.000, 0.000], [0.500, 0.500, 0.000], [0.750, 0.250, 0.500], [0.875, 0.886, 0.750]]}

---

# 5
{"formula": "Pm2SmHf", "functional": "PBE", "state": "relaxed", "rho_g_cm3": 8.5, "formation_enthalpy_0k_ev_per_atom": 0.15, "vol_a3_per_cell": 121.1, "total_energy_ev_per_cell": -23.555, "e_above_lowest_polymorph_mev_per_atom": 0, "cell": [[3.489, 0.000, 0.000], [1.745, 3.022, 0.000], [1.745, 1.007, 11.488]], "species": ["Pm", "Pm", "Sm", "Hf"], "frac_coords": [[0.257, 0.257, 0.230], [0.077, 0.077, 0.768], [0.499, 0.499, 0.502], [0.667, 0.667, 0.999]]}

---

# 6
{"formula": "MgCr2Pb", "functional": "PBE", "state": "relaxed", "rho_g_cm3": 6.8, "formation_enthalpy_0k_ev_per_atom": 0.65, "vol_a3_per_cell": 81.9, "total_energy_ev_per_cell": -21.938, "cell": [[-4.840, -0.376, 1.311], [-3.097, -2.383, 3.164], [-0.165, 3.586, 4.041]], "species": ["Cr", "Mg", "Pb", "Cr"], "frac_coords": [[0.999, 0.999, 0.005], [0.250, 0.250, 0.250], [0.750, 0.750, 0.750], [0.501, 0.501, 0.495]]}

---

# 7
{"formula": "K4Ac3ZrS8", "functional": "PBE", "state": "relaxed", "rho_g_cm3": 4.2, "vol_a3_per_cell": 469.4, "total_energy_ev_per_cell": -86.039, "formation_energy_uncorrected_ev_per_atom": -1.7347, "cell": [[8.541, 0.000, 0.000], [0.000, 8.916, 0.253], [-4.271, -4.266, 6.043]], "species": ["S", "S", "S", "Ac", "S", "K", "K", "K", "S", "K", "S", "S", "Zr", "Ac", "S", "Ac"], "frac_coords": [[0.235, 0.295, 0.015], [0.220, 0.705, 0.985], [0.780, 0.295, 0.560], [0.500, 0.500, 0.000], [0.259, 0.277, 0.518], [0.500, 0.000, 0.000], [0.500, 0.000, 0.500], [0.000, 0.000, 0.500], [0.780, 0.295, 0.015], [0.000, 0.000, 0.000], [0.220, 0.705, 0.440], [0.765, 0.705, 0.985], [0.000, 0.500, 0.000], [0.500, 0.500, 0.500], [0.741, 0.723, 0.482], [0.000, 0.500, 0.500]]}

---

# 8
{"formula": "Cs2TmRhO4", "functional": "PBE", "state": "relaxed", "rho_g_cm3": 4.7, "vol_a3_per_cell": 429.0, "total_energy_ev_per_cell": -90.107, "formation_energy_uncorrected_ev_per_atom": -1.4614, "cell": [[5.879, 0.000, 0.000], [2.939, 6.430, 0.000], [2.939, 0.000, 11.349]], "species": ["Tm", "O", "Cs", "O", "O", "O", "Rh", "Tm", "O", "O", "O", "Cs", "Cs", "Rh", "O", "Cs"], "frac_coords": [[0.000, 0.000, 0.000], [0.868, 0.828, 0.920], [0.181, 0.000, 0.638], [0.213, 0.172, 0.920], [0.615, 0.172, 0.080], [0.135, 0.328, 0.420], [0.500, 0.000, 0.000], [0.750, 0.500, 0.500], [0.305, 0.828, 0.080], [0.445, 0.672, 0.420], [0.882, 0.672, 0.580], [0.569, 0.500, 0.862], [0.931, 0.500, 0.138], [0.250, 0.500, 0.500], [0.537, 0.328, 0.580], [0.819, 0.000, 0.362]]}